The following is a DFT calculation (GGA-PBE) of a relaxed structure of HfNpB.

a b c (Å): 6.003 6.003 6.003
angles (deg): 90.00 90.00 90.00
Sites, in units of the cell vectors:
Hf 0.000 0.000 0.000
Hf 0.000 0.500 0.500
Hf 0.500 0.000 0.500
Hf 0.500 0.500 0.000
Np 0.000 0.000 0.500
Np 0.000 0.500 0.000
Np 0.500 0.000 0.000
Np 0.500 0.500 0.500
B 0.250 0.250 0.250
B 0.250 0.750 0.750
B 0.750 0.250 0.750
B 0.750 0.750 0.250

Calculated values
The space group is No. 216. The calculation puts the excess energy over the best structure of this formula in the dataset at 0.00 kcal/mol of atoms.


The following is a DFT calculation (GGA-PBE) of a relaxed structure of Hf2B2O5.

a b c (Å): 3.462 3.462 8.401
angles (deg): 90.00 90.00 90.00
Sites, in units of the cell vectors:
Hf 0.000 0.000 0.239
Hf 0.000 0.000 0.761
B 0.500 0.500 0.000
B 0.500 0.500 0.500
O 0.000 0.000 0.000
O 0.000 0.500 0.364
O 0.000 0.500 0.636
O 0.500 0.000 0.364
O 0.500 0.000 0.636

Calculated values
The space group is No. 123. The calculation puts the excess energy over the best structure of this formula in the dataset at 4.50 kcal/mol of atoms.